(1)
The following is a DFT calculation (PBE) of Pr2Sm3Er after structural relaxation.

Cell and atoms, written as POSCAR:
```
Pr2Sm3Er
1.0
9.098 0.293 0.682
0.688 6.721 0.189
0.445 -0.845 6.691
Pr Sm Er
4 6 2
Cartesian
6.039 0.469 4.648
1.614 4.152 1.016
8.617 2.017 6.546
4.191 5.700 2.914
2.820 2.373 4.159
7.410 3.796 3.403
0.872 5.028 4.606
4.850 2.257 1.531
5.380 3.912 6.031
9.359 1.142 2.956
7.491 6.314 1.239
2.739 -0.145 6.323
```

Excess energy over the best structure of this formula in the dataset   0 meV per atom
Energy of formation from the pure elements   0.062 eV per atom


(2)
The following is a DFT calculation (PBE) of MnNb2CrHg after structural relaxation.

Cell and atoms, written as POSCAR:
```
MnNb2CrHg
1.0
-5.027 0.029 -1.003
-0.811 -2.753 3.985
-0.538 4.245 2.823
Cr Nb Mn Hg
1 2 1 1
Cartesian
-0.406 -1.376 1.993
-0.269 2.122 1.411
-2.514 0.015 -0.502
-3.188 0.761 2.902
0.000 0.000 0.000
```

Energy of formation from the pure elements   1.959 eV per atom


(3)
The following is a DFT calculation (PBE) of ZrRhI3 after structural relaxation.

Cell and atoms, written as POSCAR:
```
ZrRhI3
1.0
5.340 0.000 0.000
0.000 5.340 0.000
0.000 0.000 5.340
I Rh Zr
3 1 1
Cartesian
0.000 2.670 0.000
0.000 0.000 2.670
2.670 0.000 0.000
0.000 0.000 0.000
2.670 2.670 2.670
```

Excess energy over the best structure of this formula in the dataset   0 meV per atom
E_form (uncorrected)   0.4223 eV/atom